No. 1
DFT (PBE-GGA) results for crystalline Mg5Ag4Hg at its relaxed geometry.

Unit cell a=3.367 b=3.367 c=16.792 alpha=90.00 beta=90.00 gamma=90.00
Atoms (fractional coordinates):
Mg  0.500  0.500  0.112
Mg  0.500  0.500  0.306
Mg  0.500  0.500  0.500
Mg  0.500  0.500  0.694
Mg  0.500  0.500  0.888
Ag  0.000  0.000  0.209
Ag  0.000  0.000  0.403
Ag  0.000  0.000  0.597
Ag  0.000  0.000  0.791
Hg  0.000  0.000  0.000

Final energy (eV for the cell shown): -22.1
Energy relative to the elements (meV per atom): -241
SG: P4/mmm

***

No. 2
DFT (PBE-GGA) results for crystalline MgAg2Hg at its relaxed geometry.

Unit cell a=6.420 b=6.420 c=6.420 alpha=53.30 beta=152.52 gamma=135.27
Atoms (fractional coordinates):
Mg  0.000  0.000  0.000
Ag  0.000  0.248  0.248
Ag  0.000  0.752  0.752
Hg  0.000  0.500  0.500

Final energy (eV for the cell shown): -7.3
Energy relative to the elements (meV per atom): 74
SG: Immm

***

No. 3
DFT (PBE-GGA) results for crystalline Mg4Ag2Hg at its relaxed geometry.

Unit cell a=7.282 b=7.282 c=7.282 alpha=109.41 beta=109.59 gamma=109.41
Atoms (fractional coordinates):
Mg  0.135  0.913  0.383
Mg  0.617  0.751  0.529
Mg  0.972  0.587  0.721
Mg  0.279  0.251  0.867
Mg  0.615  0.749  0.028
Mg  0.778  0.249  0.865
Mg  0.471  0.087  0.222
Mg  0.133  0.413  0.385
Ag  0.875  0.121  0.496
Ag  0.504  0.379  0.625
Ag  0.375  0.879  0.754
Ag  0.246  0.621  0.125
Hg  0.000  0.000  0.000
Hg  0.750  0.500  0.250

Final energy (eV for the cell shown): -26.1
Relative energy among the computed polymorphs (eV per atom): 0.057
Energy relative to the elements (meV per atom): -99
SG: I-42d

***

No. 4
DFT (PBE-GGA) results for crystalline Mg6AgHg at its relaxed geometry.

Unit cell a=4.276 b=4.276 c=9.118 alpha=90.00 beta=90.00 gamma=90.00
Atoms (fractional coordinates):
Mg  0.500  0.500  0.000
Mg  0.500  0.500  0.500
Mg  0.500  0.000  0.257
Mg  0.500  0.000  0.743
Mg  0.000  0.500  0.257
Mg  0.000  0.500  0.743
Ag  0.000  0.000  0.500
Hg  0.000  0.000  0.000

Final energy (eV for the cell shown): -13.6
Relative energy among the computed polymorphs (eV per atom): 0.000
Energy relative to the elements (meV per atom): -115
SG: P4/mmm

***

No. 5
DFT (PBE-GGA) results for crystalline Mg2Ag2Hg3 at its relaxed geometry.

Unit cell a=4.173 b=3.322 c=10.785 alpha=90.00 beta=78.85 gamma=90.00
Atoms (fractional coordinates):
Mg  0.574  0.500  0.853
Mg  0.426  0.500  0.147
Ag  0.707  0.500  0.586
Ag  0.293  0.500  0.414
Hg  0.850  0.000  0.300
Hg  0.000  0.000  0.000
Hg  0.150  0.000  0.700

Final energy (eV for the cell shown): -10.2
Relative energy among the computed polymorphs (eV per atom): 0.044
Energy relative to the elements (meV per atom): -56
SG: Cmmm

***

No. 6
DFT (PBE-GGA) results for crystalline Mg3Ag2Hg4 at its relaxed geometry.

Unit cell a=5.164 b=8.829 c=8.829 alpha=73.27 beta=80.93 gamma=80.93
Atoms (fractional coordinates):
Mg  0.083  0.955  0.701
Mg  0.417  0.299  0.045
Mg  0.917  0.045  0.299
Mg  0.583  0.701  0.955
Mg  0.250  0.384  0.616
Mg  0.750  0.616  0.384
Ag  0.191  0.730  0.478
Ag  0.309  0.522  0.270
Ag  0.809  0.270  0.522
Ag  0.691  0.478  0.730
Hg  0.525  0.067  0.812
Hg  0.975  0.188  0.933
Hg  0.475  0.933  0.188
Hg  0.025  0.812  0.067
Hg  0.645  0.835  0.595
Hg  0.855  0.405  0.165
Hg  0.355  0.165  0.405
Hg  0.145  0.595  0.835

Final energy (eV for the cell shown): -25.7
Energy relative to the elements (meV per atom): -130
SG: C2/c

***

No. 7
DFT (PBE-GGA) results for crystalline Mg3Ag6Hg at its relaxed geometry.

Unit cell a=5.200 b=8.952 c=8.952 alpha=109.62 beta=90.00 gamma=90.00
Atoms (fractional coordinates):
Mg  0.467  0.901  0.710
Mg  0.967  0.710  0.901
Mg  0.094  0.378  0.622
Mg  0.594  0.622  0.378
Mg  0.967  0.099  0.290
Mg  0.467  0.290  0.099
Ag  0.056  0.687  0.587
Ag  0.556  0.587  0.687
Ag  0.386  0.540  0.967
Ag  0.886  0.967  0.540
Ag  0.299  0.969  0.031
Ag  0.631  0.270  0.730
Ag  0.131  0.730  0.270
Ag  0.799  0.031  0.969
Ag  0.386  0.033  0.460
Ag  0.886  0.460  0.033
Ag  0.056  0.413  0.313
Ag  0.556  0.313  0.413
Hg  0.142  0.178  0.822
Hg  0.642  0.822  0.178

Final energy (eV for the cell shown): -45.4
Energy relative to the elements (meV per atom): -50
SG: Cmc2_1

***

No. 8
DFT (PBE-GGA) results for crystalline MgAg5Hg2 at its relaxed geometry.

Unit cell a=4.316 b=5.934 c=11.860 alpha=90.00 beta=90.00 gamma=90.00
Atoms (fractional coordinates):
Mg  0.000  0.000  0.500
Mg  0.000  0.500  0.000
Ag  0.000  0.000  0.000
Ag  0.000  0.500  0.500
Ag  0.000  0.498  0.751
Ag  0.000  0.502  0.249
Ag  0.000  0.002  0.251
Ag  0.000  0.998  0.749
Ag  0.500  0.248  0.875
Ag  0.500  0.752  0.125
Ag  0.500  0.252  0.375
Ag  0.500  0.748  0.625
Hg  0.500  0.248  0.625
Hg  0.500  0.752  0.375
Hg  0.500  0.252  0.125
Hg  0.500  0.748  0.875

Final energy (eV for the cell shown): -33.7
Relative energy among the computed polymorphs (eV per atom): 0.000
Energy relative to the elements (meV per atom): -50
SG: Pbam